Record 1
VASP calculation (PBE-GGA) on a relaxed AcDyCdGa crystal.

```
AcDyCdGa
1.0
0.000 3.850 3.850
3.850 0.000 3.850
3.850 3.850 0.000
Ac Dy Cd Ga
1 1 1 1
Cartesian
0.000 0.000 0.000
3.850 3.850 3.850
1.925 1.925 1.925
5.774 5.774 5.774
```

total DFT energy (no corrections) = -0.2586 Ry per atom
mass density = 8.32 Mg/m³
space group = F-43m (216)
formation energy from the elements = -0.3549 eV per atom

***

Record 2
VASP calculation (PBE-GGA) on a relaxed AcGdDyCd crystal.

```
AcGdDyCd
1.0
0.000 3.987 3.987
3.987 0.000 3.987
3.987 3.987 0.000
Ac Gd Dy Cd
1 1 1 1
Cartesian
0.000 0.000 0.000
5.981 5.981 5.981
1.994 1.994 1.994
3.987 3.987 3.987
```

total DFT energy (no corrections) = -0.4313 Ry per atom
mass density = 8.63 Mg/m³
space group = F-43m (216)
formation energy from the elements = 0.0580 eV per atom

***

Record 3
VASP calculation (PBE-GGA) on a relaxed AcDyCdGe crystal.

```
AcDyCdGe
1.0
0.000 3.820 3.820
3.820 0.000 3.820
3.820 3.820 0.000
Ac Dy Cd Ge
1 1 1 1
Cartesian
0.000 0.000 0.000
3.820 3.820 3.820
5.730 5.730 5.730
1.910 1.910 1.910
```

total DFT energy (no corrections) = -0.2908 Ry per atom
mass density = 8.56 Mg/m³
space group = F-43m (216)
formation energy from the elements = -0.3961 eV per atom

***

Record 4
VASP calculation (PBE-GGA) on a relaxed AcDyCd2Hg4 crystal.

```
AcDyCd2Hg4
1.0
2.611 1.507 8.669
-2.611 1.507 8.669
0.000 -3.015 8.669
Ac Dy Cd Hg
1 1 2 4
Cartesian
0.000 0.000 0.000
0.000 0.000 13.004
0.000 0.000 6.484
0.000 0.000 19.524
0.000 0.000 3.389
0.000 0.000 9.943
0.000 0.000 16.065
0.000 0.000 22.619
```

total DFT energy (no corrections) = -0.1362 Ry per atom
mass density = 11.49 Mg/m³
space group = R-3m (166)
formation energy from the elements = -0.3849 eV per atom

***

Record 5
VASP calculation (PBE-GGA) on a relaxed Ac2DyCdHg6 crystal.

```
Ac2DyCdHg6
1.0
0.000 5.503 5.503
5.503 0.000 5.503
5.503 5.503 0.000
Ac Dy Cd Hg
2 1 1 6
Cartesian
2.752 2.752 2.752
8.255 8.255 8.255
0.000 0.000 0.000
5.503 5.503 5.503
5.503 5.503 2.798
5.503 2.798 5.503
8.208 5.503 5.503
2.798 5.503 5.503
5.503 8.208 5.503
5.503 5.503 8.208
```

total DFT energy (no corrections) = -0.1177 Ry per atom
mass density = 9.63 Mg/m³
space group = Fm-3m (225)
formation energy from the elements = -0.0473 eV per atom

***

Record 6
VASP calculation (PBE-GGA) on a relaxed AcDyCdHg crystal.

```
AcDyCdHg
1.0
3.844 0.000 0.000
0.000 3.844 0.000
0.000 0.000 7.990
Ac Dy Cd Hg
1 1 1 1
Cartesian
0.000 0.000 0.000
0.000 0.000 4.046
1.922 1.922 2.269
1.922 1.922 5.696
```

energy above the lowest structure with this stoichiometry = 0 meV per atom
total DFT energy (no corrections) = -0.2100 Ry per atom
mass density = 9.88 Mg/m³
space group = P4mm (99)
formation energy from the elements = -0.3751 eV per atom

***

Record 7
VASP calculation (PBE-GGA) on a relaxed AcDyCdHg crystal.

```
AcDyCdHg
1.0
0.000 3.914 3.914
3.914 0.000 3.914
3.914 3.914 0.000
Ac Dy Cd Hg
1 1 1 1
Cartesian
0.000 0.000 0.000
3.914 3.914 3.914
5.871 5.871 5.871
1.957 1.957 1.957
```

energy above the lowest structure with this stoichiometry = 41 meV per atom
total DFT energy (no corrections) = -0.2070 Ry per atom
mass density = 9.73 Mg/m³
space group = F-43m (216)
formation energy from the elements = -0.3345 eV per atom

***

Record 8
VASP calculation (PBE-GGA) on a relaxed AcDyCdIn crystal.

```
AcDyCdIn
1.0
0.000 3.942 3.942
3.942 0.000 3.942
3.942 3.942 0.000
Ac Dy Cd In
1 1 1 1
Cartesian
0.000 0.000 0.000
3.942 3.942 3.942
1.971 1.971 1.971
5.913 5.913 5.913
```

total DFT energy (no corrections) = -0.2523 Ry per atom
mass density = 8.36 Mg/m³
space group = F-43m (216)
formation energy from the elements = -0.3422 eV per atom

***

Record 9
VASP calculation (PBE-GGA) on a relaxed AcDy2Cd2In2 crystal.

```
AcDy2Cd2In2
1.0
2.511 1.449 9.270
-2.511 1.449 9.270
0.000 -2.899 9.270
Ac Dy Cd In
1 2 2 2
Cartesian
0.000 0.000 0.000
0.000 0.000 3.728
0.000 0.000 24.080
0.000 0.000 11.913
0.000 0.000 15.896
0.000 0.000 7.178
0.000 0.000 20.631
```

total DFT energy (no corrections) = -0.2376 Ry per atom
mass density = 8.26 Mg/m³
space group = R-3m (166)
formation energy from the elements = -0.2865 eV per atom

***

Record 10
VASP calculation (PBE-GGA) on a relaxed AcDyCdIr crystal.

```
AcDyCdIr
1.0
0.000 3.727 3.727
3.727 0.000 3.727
3.727 3.727 0.000
Ac Dy Cd Ir
1 1 1 1
Cartesian
0.000 0.000 0.000
3.727 3.727 3.727
1.864 1.864 1.864
5.591 5.591 5.591
```

total DFT energy (no corrections) = -0.3667 Ry per atom
mass density = 11.13 Mg/m³
space group = F-43m (216)
formation energy from the elements = -0.3682 eV per atom

***

Record 11
VASP calculation (PBE-GGA) on a relaxed AcLaDyCd crystal.

```
AcLaDyCd
1.0
3.828 0.000 0.000
0.000 3.828 0.000
0.000 0.000 9.125
Ac La Dy Cd
1 1 1 1
Cartesian
0.000 0.000 0.000
1.914 1.914 6.425
1.914 1.914 2.556
0.000 0.000 4.306
```

energy above the lowest structure with this stoichiometry = 0 meV per atom
total DFT energy (no corrections) = -0.2777 Ry per atom
mass density = 7.96 Mg/m³
space group = P4mm (99)
formation energy from the elements = -0.1402 eV per atom

***

Record 12
VASP calculation (PBE-GGA) on a relaxed AcLaDyCd crystal.

```
AcLaDyCd
1.0
0.000 4.047 4.047
4.047 0.000 4.047
4.047 4.047 0.000
Ac La Dy Cd
1 1 1 1
Cartesian
0.000 0.000 0.000
6.071 6.071 6.071
2.024 2.024 2.024
4.047 4.047 4.047
```

energy above the lowest structure with this stoichiometry = 182 meV per atom
total DFT energy (no corrections) = -0.2643 Ry per atom
mass density = 8.02 Mg/m³
space group = F-43m (216)
formation energy from the elements = 0.0417 eV per atom

***

Record 13
VASP calculation (PBE-GGA) on a relaxed LiAcDyCd crystal.

```
LiAcDyCd
1.0
0.000 3.905 3.905
3.905 0.000 3.905
3.905 3.905 0.000
Li Ac Dy Cd
1 1 1 1
Cartesian
0.000 0.000 0.000
5.858 5.858 5.858
1.953 1.953 1.953
3.905 3.905 3.905
```

total DFT energy (no corrections) = -0.2179 Ry per atom
mass density = 7.09 Mg/m³
space group = F-43m (216)
formation energy from the elements = -0.0798 eV per atom

***

Record 14
VASP calculation (PBE-GGA) on a relaxed AcDyMg2Cd4 crystal.

```
AcDyMg2Cd4
1.0
2.607 1.505 8.719
-2.607 1.505 8.719
0.000 -3.011 8.719
Ac Dy Mg Cd
1 1 2 4
Cartesian
0.000 0.000 0.000
0.000 0.000 13.078
0.000 0.000 6.459
0.000 0.000 19.696
0.000 0.000 3.385
0.000 0.000 10.018
0.000 0.000 16.137
0.000 0.000 22.771
```

total DFT energy (no corrections) = -0.1635 Ry per atom
mass density = 7.18 Mg/m³
space group = R-3m (166)
formation energy from the elements = -0.2793 eV per atom

***

Record 15
VASP calculation (PBE-GGA) on a relaxed AcNdDyCd crystal.

```
AcNdDyCd
1.0
3.815 0.000 0.000
0.000 3.815 0.000
0.000 0.000 9.024
Ac Nd Dy Cd
1 1 1 1
Cartesian
0.000 0.000 0.000
1.907 1.907 6.354
1.907 1.907 2.577
0.000 0.000 4.351
```

energy above the lowest structure with this stoichiometry = 0 meV per atom
total DFT energy (no corrections) = -0.2741 Ry per atom
mass density = 8.17 Mg/m³
space group = P4mm (99)
formation energy from the elements = -0.1314 eV per atom

***

Record 16
VASP calculation (PBE-GGA) on a relaxed AcNdDyCd crystal.

```
AcNdDyCd
1.0
0.000 4.016 4.016
4.016 0.000 4.016
4.016 4.016 0.000
Ac Nd Dy Cd
1 1 1 1
Cartesian
0.000 0.000 0.000
2.008 2.008 2.008
6.024 6.024 6.024
4.016 4.016 4.016
```

energy above the lowest structure with this stoichiometry = 187 meV per atom
total DFT energy (no corrections) = -0.2604 Ry per atom
mass density = 8.28 Mg/m³
space group = F-43m (216)
formation energy from the elements = 0.0560 eV per atom

***

Record 17
VASP calculation (PBE-GGA) on a relaxed Ac2DyCdPd6 crystal.

```
Ac2DyCdPd6
1.0
0.000 5.063 5.063
5.063 0.000 5.063
5.063 5.063 0.000
Ac Dy Cd Pd
2 1 1 6
Cartesian
2.531 2.531 2.531
7.594 7.594 7.594
0.000 0.000 0.000
5.063 5.063 5.063
5.063 5.063 2.530
5.063 2.530 5.063
7.595 5.063 5.063
2.530 5.063 5.063
5.063 7.595 5.063
5.063 5.063 7.595
```

total DFT energy (no corrections) = -0.3448 Ry per atom
mass density = 8.75 Mg/m³
space group = Fm-3m (225)
formation energy from the elements = -0.2016 eV per atom

***

Record 18
VASP calculation (PBE-GGA) on a relaxed AcDyPuCd crystal.

```
AcDyPuCd
1.0
0.000 3.971 3.971
3.971 0.000 3.971
3.971 3.971 0.000
Ac Dy Pu Cd
1 1 1 1
Cartesian
0.000 0.000 0.000
3.971 3.971 3.971
1.986 1.986 1.986
5.957 5.957 5.957
```

total DFT energy (no corrections) = -0.4312 Ry per atom
mass density = 9.89 Mg/m³
space group = F-43m (216)
formation energy from the elements = 0.1223 eV per atom

***

Record 19
VASP calculation (PBE-GGA) on a relaxed AcDyScCd crystal.

```
AcDyScCd
1.0
0.000 3.888 3.888
3.888 0.000 3.888
3.888 3.888 0.000
Ac Dy Sc Cd
1 1 1 1
Cartesian
0.000 0.000 0.000
1.944 1.944 1.944
5.832 5.832 5.832
3.888 3.888 3.888
```

total DFT energy (no corrections) = -0.2846 Ry per atom
mass density = 7.73 Mg/m³
space group = F-43m (216)
formation energy from the elements = 0.1168 eV per atom

***

Record 20
VASP calculation (PBE-GGA) on a relaxed AcDyCdSi crystal.

```
AcDyCdSi
1.0
0.000 3.790 3.790
3.790 0.000 3.790
3.790 3.790 0.000
Ac Dy Cd Si
1 1 1 1
Cartesian
0.000 0.000 0.000
3.790 3.790 3.790
1.895 1.895 1.895
5.685 5.685 5.685
```

total DFT energy (no corrections) = -0.2980 Ry per atom
mass density = 8.08 Mg/m³
space group = F-43m (216)
E_form (uncorrected) = -0.293 eV/atom